# 1
! Ba6IrPt (PBE, optimized geometry); values from VASP
! * magnetic moment: 0.0 μB per formula unit
! * energy relative to the elements: -0.313 eV per atom
! * SG: No. 2
&SYSTEM
  ibrav = 0, nat = 8, ntyp = 3
/
ATOMIC_SPECIES
Ba 137.33 Ba.upf
Ir 192.22 Ir.upf
Pt 195.08 Pt.upf
ATOMIC_POSITIONS angstrom
Ba 3.2964 3.2605 1.8921
Ba 8.3816 7.8213 5.5431
Ba 7.0534 5.6826 1.8952
Ba 8.5969 3.3553 5.5356
Ba 7.2687 1.2166 1.8877
Ba 12.3539 5.7774 5.5387
Ir 1.9526 1.1272 3.7154
Pt 5.8726 3.3917 0.0000
CELL_PARAMETERS angstrom
7.8307 0.0000 0.0000
3.9145 6.7835 0.0000
3.9051 2.2544 7.4308

***

# 2
! BaIr2Pt (PBE, optimized geometry); values from VASP
! * magnetic moment: 0.0 μB per formula unit
! * energy relative to the elements: 0.402 eV per atom
! * SG: No. 10
! * energy relative to the lowest polymorph listed for this composition: 0.6103 eV/atom
&SYSTEM
  ibrav = 0, nat = 4, ntyp = 3
/
ATOMIC_SPECIES
Ba 137.33 Ba.upf
Ir 192.22 Ir.upf
Pt 195.08 Pt.upf
ATOMIC_POSITIONS angstrom
Ba 0.0000 0.0000 0.0000
Ir 0.1251 2.3491 4.0806
Ir 1.6174 2.3491 1.9550
Pt 0.8712 0.0000 3.0178
CELL_PARAMETERS angstrom
2.9553 0.0000 0.0000
0.0000 4.6983 0.0000
-1.2128 0.0000 6.0356